Nd2RhBr | GGA-PBE | optimized geometry

Calculated values
- ΔE_f (raw): -894 meV per atom
- Density of states at the Fermi level: 0.633 states/eV per atom
- Distance to the lowest polymorph of the same formula: 180.8 meV per atom
- Crystal system: tetragonal
- DFT total energy: -5.53 eV/atom

Cell lengths 3.495, 3.495, 8.316 Å; angles 90.00, 90.00, 90.00 degrees
Space group P4/mmm (No. 123)
Asymmetric unit:
Nd 0.000 0.000 0.212 x2
Rh 0.500 0.500 0.000 x1
Br 0.500 0.500 0.500 x1

Tb5Ho2Er4 | GGA-PBE | optimized geometry

Calculated values
- Density of states at the Fermi level: 1.626 states/eV per atom
- Distance to the lowest polymorph of the same formula: 0.0 meV per atom
- Crystal system: monoclinic
- DFT total energy: -4.46 eV/atom

Cell lengths 10.936, 7.253, 9.145 Å; angles 90.00, 107.19, 90.00 degrees
Space group C2/m (No. 12)
Asymmetric unit:
Tb 0.000 0.000 0.000 x2
Tb 0.068 0.279 0.274 x8
Ho 0.146 0.000 0.620 x4
Er 0.167 0.500 0.620 x4
Er 0.188 0.500 0.999 x4

FeMo2Cl | GGA-PBE | optimized geometry

Calculated values
- ΔE_f (raw): 782 meV per atom
- Density of states at the Fermi level: 1.186 states/eV per atom
- Distance to the lowest polymorph of the same formula: 496.9 meV per atom
- Crystal system: orthorhombic
- DFT total energy: -7.21 eV/atom

Cell lengths 2.926, 4.512, 4.597 Å; angles 90.00, 90.00, 90.00 degrees
Space group Pmmm (No. 47)
Asymmetric unit:
Fe 0.000 0.000 0.000 x1
Mo 0.000 0.500 0.500 x1
Mo 0.500 0.500 0.000 x1
Cl 0.500 0.000 0.500 x1